! Nd2MnCdO5 (PBE+U, relaxed); values from VASP
! * symmetry: P4/mbm (127)
! * E_tot: -6.959 eV per atom
! * total magnetization: 7.5 μB per cell
&SYSTEM
  ibrav = 0, nat = 18, ntyp = 4
/
ATOMIC_SPECIES
Nd 144.24 Nd.upf
Mn 54.94 Mn.upf
Cd 112.41 Cd.upf
O 16.00 O.upf
ATOMIC_POSITIONS angstrom
Nd 1.214 2.199 0.000
Nd 2.199 5.612 0.000
Nd 4.628 1.214 0.000
Nd 5.612 4.628 0.000
Mn 0.000 3.413 2.871
Mn 3.413 0.000 2.871
Cd 0.000 0.000 2.871
Cd 3.413 3.413 2.871
O 0.000 0.000 0.000
O 0.906 4.319 1.466
O 0.906 4.319 4.276
O 2.508 0.906 1.466
O 2.508 0.906 4.276
O 3.413 3.413 0.000
O 4.319 5.921 1.466
O 4.319 5.921 4.276
O 5.921 2.508 1.466
O 5.921 2.508 4.276
CELL_PARAMETERS angstrom
6.827 0.000 0.000
0.000 6.827 0.000
0.000 0.000 5.742